Compound: Y2ZrNi2
Source: Alexandria
Functional: SCAN
Structure: single point on PBEsol structure

Structure (POSCAR):
```
Y2ZrNi2
1.0
4.449 0.000 0.000
0.000 6.676 0.000
0.000 0.000 6.676
Y Ni Zr
4 4 2
Direct
0.500 0.326 0.174
0.500 0.826 0.326
0.500 0.174 0.674
0.500 0.674 0.826
0.000 0.627 0.127
0.000 0.127 0.373
0.000 0.873 0.627
0.000 0.373 0.873
0.000 0.500 0.500
0.000 0.000 0.000
```

## Properties
* crystal system: tetragonal
* final energy: -240.47 eV per cell

Compound: YZrNi2
Source: Alexandria
Functional: SCAN
Structure: single point on PBEsol structure

Structure (POSCAR):
```
YZrNi2
1.0
3.209 0.000 0.000
0.000 4.608 0.000
0.000 0.000 4.608
Zr Ni Y
1 2 1
Direct
0.500 0.500 0.500
0.000 0.500 0.000
0.000 0.000 0.500
0.500 0.000 0.000
```

## Properties
* crystal system: tetragonal
* final energy: -92.23 eV per cell

Compound: YZrNi6
Source: Alexandria
Functional: SCAN
Structure: single point on PBEsol structure

Structure (POSCAR):
```
YZrNi6
1.0
6.469 0.001 0.000
-2.147 6.102 0.000
0.000 0.000 10.578
Y Ni Zr
4 24 4
Direct
0.249 0.751 0.500
0.751 0.249 0.500
0.000 0.000 0.751
0.000 0.000 0.249
0.500 0.500 0.000
0.500 0.500 0.500
0.619 0.872 0.879
0.872 0.619 0.121
0.868 0.621 0.371
0.621 0.868 0.371
0.000 0.000 0.000
0.872 0.619 0.879
0.128 0.381 0.879
0.379 0.132 0.371
0.254 0.746 0.244
0.746 0.254 0.756
0.621 0.868 0.629
0.746 0.254 0.244
0.868 0.621 0.629
0.132 0.379 0.371
0.000 0.000 0.500
0.254 0.746 0.756
0.132 0.379 0.629
0.128 0.381 0.121
0.619 0.872 0.121
0.379 0.132 0.629
0.381 0.128 0.879
0.381 0.128 0.121
0.249 0.751 0.000
0.751 0.249 0.000
0.500 0.500 0.249
0.500 0.500 0.751
```

## Properties
* crystal system: orthorhombic
* final energy: -632.05 eV per cell

Compound: Y2ZrNi
Source: Alexandria
Functional: SCAN
Structure: single point on PBEsol structure

Structure (POSCAR):
```
Y2ZrNi
1.0
-0.630 3.125 -1.424
0.013 -2.081 -4.572
-4.689 -1.362 3.366
Y Ni Zr
2 1 1
Direct
0.798 0.798 0.596
0.202 0.202 0.404
0.500 0.000 0.000
0.000 0.500 0.000
```

## Properties
* crystal system: orthorhombic
* final energy: -102.57 eV per cell
* excess energy over the best structure of this formula in the dataset: 0 meV/atom

Compound: Y2ZrNi
Source: Alexandria
Functional: SCAN
Structure: single point on PBEsol structure

Structure (POSCAR):
```
Y2ZrNi
1.0
3.401 0.000 0.000
1.700 2.945 0.000
1.700 0.982 9.157
Y Zr Ni
2 1 1
Direct
0.735 0.735 0.795
0.265 0.265 0.205
0.500 0.500 0.500
0.000 0.000 0.000
```

## Properties
* crystal system: trigonal
* final energy: -102.24 eV per cell
* excess energy over the best structure of this formula in the dataset: 82 meV/atom

Compound: YZrNi2
Source: Alexandria
Functional: SCAN
Structure: single point on PBEsol structure

Structure (POSCAR):
```
YZrNi2
1.0
3.236 0.000 0.000
0.000 3.236 0.032
0.000 -0.067 6.602
Y Zr Ni
1 1 2
Direct
0.500 0.500 0.500
0.500 0.500 0.000
0.000 0.000 0.790
0.000 0.000 0.210
```

## Properties
* crystal system: tetragonal
* final energy: -92.54 eV per cell

Compound: YZrNi2
Source: Alexandria
Functional: SCAN
Structure: single point on PBEsol structure

Structure (POSCAR):
```
YZrNi2
1.0
-1.905 -0.052 3.324
0.115 -3.829 0.007
4.874 2.064 0.617
Ni Zr Y
2 1 1
Direct
0.000 0.000 0.000
0.750 0.250 0.500
0.250 0.750 0.500
0.500 0.500 0.000
```

## Properties
* crystal system: tetragonal
* final energy: -91.31 eV per cell

Compound: YZrNi4
Source: Alexandria
Functional: SCAN
Structure: single point on PBEsol structure

Structure (POSCAR):
```
YZrNi4
1.0
4.923 0.000 0.000
2.461 4.263 0.000
2.461 1.421 4.019
Ni Y Zr
4 1 1
Direct
0.375 0.876 0.375
0.375 0.375 0.876
0.876 0.375 0.375
0.375 0.375 0.375
0.750 0.750 0.750
0.000 0.000 0.000
```

## Properties
* crystal system: cubic
* final energy: -125.61 eV per cell

Compound: YZrNi2
Source: Alexandria
Functional: SCAN
Structure: single point on PBEsol structure

Structure (POSCAR):
```
YZrNi2
1.0
3.405 0.000 0.000
0.000 4.188 0.000
-1.702 0.000 4.908
Ni Zr Y
2 1 1
Direct
0.673 0.500 0.346
0.827 0.000 0.654
0.380 0.500 0.760
0.102 0.000 0.204
```

## Properties
* crystal system: orthorhombic
* final energy: -92.60 eV per cell

Compound: Zn8Ni
Source: Alexandria
Functional: SCAN
Structure: single point on PBEsol structure

Structure (POSCAR):
```
Zn8Ni
1.0
-1.863 -2.448 2.001
-1.221 -4.691 -3.510
3.968 -3.671 2.567
Zn Ni
8 1
Direct
0.338 0.000 0.324
0.330 0.670 0.670
0.338 0.324 0.000
0.000 0.670 0.330
0.670 0.330 0.330
0.000 0.330 0.670
0.662 0.676 0.000
0.662 0.000 0.676
0.000 0.000 0.000
```

## Properties
* crystal system: tetragonal
* final energy: -124.70 eV per cell

Compound: Zn3Ni2
Source: Alexandria
Functional: SCAN
Structure: single point on PBEsol structure

Structure (POSCAR):
```
Zn3Ni2
1.0
3.981 0.000 0.000
-1.991 3.448 0.000
0.000 0.000 4.839
Zn Ni
3 2
Direct
0.333 0.667 0.362
0.667 0.333 0.638
0.000 0.000 0.000
0.333 0.667 0.863
0.667 0.333 0.137
```

## Properties
* crystal system: trigonal
* final energy: -73.39 eV per cell

Compound: Zn2Ni
Source: Alexandria
Functional: SCAN
Structure: single point on PBEsol structure

Structure (POSCAR):
```
Zn2Ni
1.0
-0.450 -0.743 -2.499
4.848 0.011 0.525
-1.914 -5.505 1.981
Ni Zn
2 4
Direct
0.028 0.057 0.795
0.972 0.943 0.205
0.638 0.276 0.537
0.677 0.355 0.122
0.362 0.724 0.463
0.323 0.645 0.878
```

## Properties
* crystal system: monoclinic
* final energy: -87.37 eV per cell

Compound: Zn3Ni
Source: Alexandria
Functional: SCAN
Structure: single point on PBEsol structure

Structure (POSCAR):
```
Zn3Ni
1.0
2.648 0.000 0.000
0.000 4.491 0.000
-1.324 -2.246 4.212
Ni Zn
1 3
Direct
0.000 0.003 0.000
0.500 0.489 0.000
0.259 0.596 0.518
0.741 0.078 0.482
```

## Properties
* crystal system: orthorhombic
* final energy: -57.24 eV per cell

Compound: ZnNi
Source: Alexandria
Functional: SCAN
Structure: single point on PBEsol structure

Structure (POSCAR):
```
ZnNi
1.0
2.670 0.000 0.000
0.000 2.670 0.000
0.000 0.000 3.220
Zn Ni
1 1
Direct
0.000 0.000 0.000
0.500 0.500 0.500
```

## Properties
* crystal system: tetragonal
* final energy: -30.15 eV per cell

Compound: Zn5Ni24
Source: Alexandria
Functional: SCAN
Structure: single point on PBEsol structure

Structure (POSCAR):
```
Zn5Ni24
1.0
-0.460 -2.412 7.018
6.364 -2.375 -3.025
-0.161 7.433 -0.082
Ni Zn
24 5
Direct
0.000 0.682 0.406
0.594 0.594 0.276
0.406 0.682 0.000
0.624 0.814 0.624
0.000 0.191 0.376
0.682 0.406 0.000
0.318 0.318 0.724
0.376 0.000 0.191
0.624 0.624 0.814
0.814 0.624 0.624
0.376 0.191 0.000
0.594 0.276 0.594
0.809 0.809 0.186
0.000 0.406 0.682
0.186 0.809 0.809
0.000 0.376 0.191
0.809 0.186 0.809
0.724 0.318 0.318
0.191 0.000 0.376
0.318 0.724 0.318
0.276 0.594 0.594
0.682 0.000 0.406
0.191 0.376 0.000
0.406 0.000 0.682
0.638 0.000 0.000
0.000 0.000 0.000
0.362 0.362 0.362
0.000 0.000 0.638
0.000 0.638 0.000
```

## Properties
* crystal system: cubic
* final energy: -454.95 eV per cell

Compound: ZnNi
Source: Alexandria
Functional: SCAN
Structure: single point on PBEsol structure

Structure (POSCAR):
```
ZnNi
1.0
-0.224 -2.648 2.389
-1.250 -2.184 -2.538
4.118 1.409 -0.725
Ni Zn
2 2
Direct
0.250 0.750 0.500
0.000 0.000 0.000
0.500 0.500 0.000
0.750 0.250 0.500
```

## Properties
* crystal system: tetragonal
* final energy: -59.91 eV per cell

Compound: Zn3Ni
Source: Alexandria
Functional: SCAN
Structure: single point on PBEsol structure

Structure (POSCAR):
```
Zn3Ni
1.0
-1.163 -0.894 -2.109
0.631 -4.118 2.441
-3.398 3.015 1.639
Ni Zn
1 3
Direct
0.000 0.000 0.000
0.500 0.000 0.500
0.000 0.500 0.500
0.500 0.500 0.000
```

## Properties
* crystal system: trigonal
* final energy: -57.03 eV per cell

Compound: Zn3Ni
Source: Alexandria
Functional: SCAN
Structure: single point on PBEsol structure

Structure (POSCAR):
```
Zn3Ni
1.0
2.758 0.000 0.000
0.000 2.758 0.000
0.000 0.000 6.697
Zn Ni
3 1
Direct
0.500 0.500 0.773
0.500 0.500 0.227
0.000 0.000 0.500
0.000 0.000 0.000
```

## Properties
* crystal system: tetragonal
* final energy: -57.14 eV per cell

Compound: ZnNi
Source: Alexandria
Functional: SCAN
Structure: single point on PBEsol structure

Structure (POSCAR):
```
ZnNi
1.0
3.710 0.000 0.000
1.855 3.213 0.000
1.855 1.071 3.029
Zn Ni
1 1
Direct
0.750 0.750 0.750
0.000 0.000 0.000
```

## Properties
* crystal system: cubic
* final energy: -27.74 eV per cell

Compound: Zn2Ni
Source: Alexandria
Functional: SCAN
Structure: single point on PBEsol structure

Structure (POSCAR):
```
Zn2Ni
1.0
-3.115 -1.585 1.066
1.168 0.033 3.462
-3.536 10.598 -0.837
Zn Ni
8 4
Direct
0.499 0.999 0.998
0.837 0.337 0.673
0.001 0.501 0.002
0.413 0.413 0.827
0.249 0.249 0.498
0.663 0.163 0.327
0.587 0.587 0.173
0.751 0.751 0.502
0.081 0.081 0.163
0.331 0.831 0.663
0.169 0.669 0.337
0.919 0.919 0.837
```

## Properties
* crystal system: tetragonal
* final energy: -174.83 eV per cell

no.,energy of formation (kJ per mole of atoms)
1,-29.0
2,-32.3
3,-29.3
4,-0.3
5,7.6
6,-39.8
7,-10.2
8,-38.2
9,-41.3
10,-4.3
11,-9.6
12,-15.5
13,-12.6
14,-22.2
15,2.6
16,-12.9
17,-7.4
18,-10.1
19,94.0
20,-16.2